PBE LaTb2TmSe4, optimized geometry; E_form (uncorrected) = -1.789 eV/atom; N(E_F) = 4.63 states/eV/f.u.
1.0
7.101 0.000 0.000
0.000 4.071 0.000
-2.339 0.000 6.910
La Tb Tm Se
1 2 1 4
direct
0.000 0.000 0.000
0.500 0.000 0.500
0.500 0.500 0.000
0.000 0.500 0.500
0.249 0.000 0.739
0.258 0.500 0.264
0.742 0.500 0.736
0.751 0.000 0.261



PBE TlOsRu2, optimized geometry; N(E_F) = 5.95 states/eV/f.u.; offset from the most stable computed form = 1.544 eV per formula unit
1.0
4.886 0.000 0.000
0.000 2.851 0.000
-1.963 0.000 4.587
Tl Os Ru
1 1 2
direct
0.000 0.000 0.000
0.000 0.500 0.500
0.500 0.000 0.500
0.500 0.500 0.000



PBE Tb6PrY3Er2, optimized geometry; N(E_F) = 15.92 states/eV/f.u.; calculated total energy = -5.0719 eV per atom
1.0
3.090 -5.347 0.000
3.090 5.347 0.000
-2.047 0.000 11.649
Tb Pr Y Er
6 1 3 2
direct
0.082 0.416 0.750
0.249 0.249 0.250
0.416 0.082 0.750
0.584 0.918 0.250
0.751 0.751 0.750
0.918 0.584 0.250
0.500 0.500 0.000
0.000 0.000 0.500
0.333 0.667 0.500
0.667 0.333 0.500
0.167 0.833 0.000
0.833 0.167 0.000



PBE Sc5Al, optimized geometry; N(E_F) = 7.60 states/eV/f.u.; offset from the most stable computed form = 1.984 eV per formula unit
1.0
0.000 4.129 4.129
4.129 0.000 4.129
4.129 4.129 0.000
Sc Al
5 1
direct
0.000 0.000 0.000
0.122 0.626 0.626
0.626 0.122 0.626
0.626 0.626 0.122
0.626 0.626 0.626
0.250 0.250 0.250



PBE AcPrNdHg, optimized geometry; N(E_F) = 5.59 states/eV/f.u.; offset from the most stable computed form = 0.000 eV per formula unit
1.0
3.868 0.000 0.000
0.000 3.868 0.000
0.000 0.000 9.024
Ac Pr Nd Hg
1 1 1 1
direct
0.000 0.000 0.000
0.500 0.500 0.710
0.500 0.500 0.288
0.000 0.000 0.495



PBE Ba2NaMg, optimized geometry; N(E_F) = 4.44 states/eV/f.u.; calculated total energy = -1.7278 eV per atom
1.0
4.420 0.000 0.000
0.000 4.420 0.000
0.000 0.000 9.500
Ba Na Mg
2 1 1
direct
0.000 0.000 0.222
0.000 0.000 0.778
0.500 0.500 0.500
0.500 0.500 0.000



PBE Pm2Dy3Er5, optimized geometry; N(E_F) = 13.02 states/eV/f.u.; offset from the most stable computed form = 0.000 eV per formula unit
1.0
7.920 0.000 0.000
0.000 9.371 0.000
-3.949 -0.685 8.474
Pm Dy Er
4 6 10
direct
0.077 0.025 0.351
0.325 0.774 0.849
0.675 0.226 0.151
0.923 0.975 0.649
0.127 0.377 0.251
0.224 0.076 0.051
0.377 0.127 0.750
0.623 0.873 0.250
0.776 0.924 0.949
0.873 0.623 0.749
0.025 0.672 0.449
0.174 0.723 0.149
0.275 0.426 0.950
0.426 0.474 0.650
0.474 0.823 0.549
0.526 0.177 0.451
0.574 0.526 0.350
0.725 0.574 0.050
0.826 0.277 0.851
0.975 0.328 0.551



PBE Rb3Ho3TeS8, optimized geometry; E_form (uncorrected) = -1.492 eV/atom; N(E_F) = 0.00 states/eV/f.u.
1.0
4.011 2.316 7.817
-4.011 2.316 7.817
0.000 -4.632 7.817
Rb Ho Te S
3 3 1 8
direct
0.000 0.500 0.500
0.500 0.000 0.500
0.500 0.500 0.000
0.000 0.000 0.500
0.000 0.500 0.000
0.500 0.000 0.000
0.500 0.500 0.500
0.230 0.230 0.230
0.235 0.726 0.726
0.274 0.274 0.765
0.274 0.765 0.274
0.726 0.235 0.726
0.726 0.726 0.235
0.765 0.274 0.274
0.770 0.770 0.770



PBE V2CrTcH, optimized geometry; N(E_F) = 3.32 states/eV/f.u.; calculated total energy = -8.4144 eV per atom
1.0
4.181 0.000 0.000
0.000 4.181 0.000
0.000 0.000 3.155
V Cr Tc H
2 1 1 1
direct
0.000 0.500 0.000
0.500 0.000 0.000
0.000 0.000 0.500
0.500 0.500 0.500
0.000 0.000 0.000



PBE Nd3Ge4Rh, optimized geometry; N(E_F) = 5.57 states/eV/f.u.; calculated total energy = -5.6996 eV per atom
1.0
-2.252 2.967 7.415
2.252 -2.967 7.415
2.252 2.967 -7.415
Nd Ge Rh
3 4 1
direct
0.000 0.000 0.000
0.308 0.808 0.500
0.692 0.192 0.500
0.092 0.379 0.713
0.334 0.621 0.713
0.666 0.379 0.287
0.908 0.621 0.287
0.500 0.500 0.000



PBE Ti2ReSe, optimized geometry; E_form (uncorrected) = 0.103 eV/atom; N(E_F) = 2.92 states/eV/f.u.
1.0
-3.456 3.456 2.848
3.456 -3.456 2.848
3.456 3.456 -2.848
Ti Re Se
4 2 2
direct
0.120 0.625 0.995
0.375 0.370 0.495
0.630 0.125 0.005
0.875 0.880 0.505
0.250 0.750 0.500
0.500 0.500 0.000
0.000 0.000 0.000
0.750 0.250 0.500



PBE RbSb2Rh, optimized geometry; E_form (uncorrected) = -0.387 eV/atom; N(E_F) = 0.90 states/eV/f.u.; offset from the most stable computed form = 0.016 eV per formula unit
1.0
2.188 1.263 7.388
-2.188 1.263 7.388
0.000 -2.526 7.388
Rb Sb Rh
1 2 1
direct
0.000 0.000 0.000
0.545 0.545 0.545
0.790 0.790 0.790
0.176 0.176 0.176



PBE Na2ReO, optimized geometry; E_form (uncorrected) = 0.037 eV/atom; N(E_F) = 2.27 states/eV/f.u.
1.0
-4.997 4.997 1.873
4.997 -4.997 1.873
4.997 4.997 -1.873
Na Re O
4 2 2
direct
0.375 0.214 0.339
0.786 0.125 0.161
0.875 0.036 0.661
0.964 0.625 0.839
0.250 0.750 0.500
0.500 0.500 0.000
0.000 0.000 0.000
0.750 0.250 0.500



PBE La2Cd2Au, optimized geometry; N(E_F) = 7.14 states/eV/f.u.; offset from the most stable computed form = 0.719 eV per formula unit
1.0
7.954 0.000 0.000
0.000 7.954 0.000
0.000 0.000 4.980
La Cd Au
4 4 2
direct
0.153 0.347 0.000
0.347 0.847 0.000
0.653 0.153 0.000
0.847 0.653 0.000
0.144 0.644 0.500
0.356 0.144 0.500
0.644 0.856 0.500
0.856 0.356 0.500
0.000 0.000 0.000
0.500 0.500 0.000



PBE Pu2Sc7Tl2, optimized geometry; N(E_F) = 20.51 states/eV/f.u.; calculated total energy = -6.9808 eV per atom
1.0
4.499 -5.377 0.000
4.499 5.377 0.000
-2.518 0.000 5.632
Pu Sc Tl
2 7 2
direct
0.136 0.864 0.000
0.864 0.136 0.000
0.000 0.000 0.500
0.061 0.576 0.289
0.331 0.331 0.028
0.424 0.939 0.711
0.576 0.061 0.289
0.669 0.669 0.972
0.939 0.424 0.711
0.333 0.333 0.529
0.667 0.667 0.471



PBE BeNi2Au, optimized geometry; N(E_F) = 4.45 states/eV/f.u.; calculated total energy = -4.7025 eV per atom
1.0
3.559 0.000 0.000
0.000 3.559 0.000
0.000 0.000 3.791
Be Ni Au
1 2 1
direct
0.000 0.000 0.000
0.000 0.500 0.500
0.500 0.000 0.500
0.500 0.500 0.000



PBE Rb2TmUS4, optimized geometry; E_form (uncorrected) = -1.577 eV/atom; N(E_F) = 6.44 states/eV/f.u.
1.0
7.036 0.000 0.000
0.000 4.056 0.000
-2.340 0.000 7.707
Rb Tm U S
2 1 1 4
direct
0.000 0.000 0.000
0.500 0.500 0.000
0.000 0.500 0.500
0.500 0.000 0.500
0.226 0.000 0.691
0.265 0.500 0.307
0.735 0.500 0.693
0.774 0.000 0.309



PBE BaScTa2, optimized geometry; N(E_F) = 6.07 states/eV/f.u.; offset from the most stable computed form = 0.000 eV per formula unit
1.0
3.522 0.000 0.000
0.000 3.522 0.000
0.000 0.000 8.772
Ba Sc Ta
1 1 2
direct
0.000 0.000 0.000
0.500 0.500 0.361
0.000 0.000 0.561
0.500 0.500 0.697



PBE Si3Os5, optimized geometry; E_form (uncorrected) = -0.042 eV/atom; N(E_F) = 5.00 states/eV/f.u.; offset from the most stable computed form = 0.000 eV per formula unit
1.0
2.707 -6.438 0.000
2.707 6.438 0.000
-2.260 0.000 6.407
Si Os
6 10
direct
0.000 0.000 0.000
0.152 0.528 0.605
0.180 0.699 0.105
0.528 0.152 0.605
0.662 0.662 0.245
0.699 0.180 0.105
0.018 0.701 0.396
0.194 0.194 0.604
0.195 0.423 0.272
0.199 0.886 0.822
0.423 0.195 0.272
0.472 0.699 0.943
0.699 0.472 0.943
0.701 0.018 0.396
0.702 0.702 0.619
0.886 0.199 0.822



PBE B3PdS, optimized geometry; E_form (uncorrected) = 1.547 eV/atom; N(E_F) = 2.06 states/eV/f.u.; offset from the most stable computed form = 0.409 eV per formula unit
1.0
3.819 0.000 0.000
0.000 3.819 0.000
0.000 0.000 3.819
B Pd S
3 1 1
direct
0.000 0.000 0.500
0.000 0.500 0.000
0.500 0.000 0.000
0.500 0.500 0.500
0.000 0.000 0.000